--- w ---
Mn2AgSb2 | PBE | relaxed

The structure in POSCAR format:
```
Mn2AgSb2
1.0
-1.9419 -6.7762 2.0737
6.9115 -2.2859 -0.9975
0.7544 0.8132 3.3637
Ag Mn Sb
2 4 4
direct
0.5000 0.5000 0.0000
0.0000 0.0000 0.0000
0.6279 0.1279 0.0000
0.8721 0.6279 0.0000
0.1279 0.3721 0.0000
0.3721 0.8721 0.0000
0.6669 0.8331 0.5000
0.8331 0.3331 0.5000
0.3331 0.1669 0.5000
0.1669 0.6669 0.5000
```

**Symmetry**: P4/mbm, No. 127
**DOS at the Fermi energy**: 6.5 states/eV per cell
**Mass density**: 8011 kg/m3
**V**: 191 Å³/cell


--- x ---
Mn2AgSb2 | PBE | relaxed

The structure in POSCAR format:
```
Mn2AgSb2
1.0
3.9980 0.0000 0.0000
0.0000 3.9980 0.0000
1.9990 1.9990 6.4295
Mn Sb Ag
2 2 1
direct
0.2500 0.7500 0.5000
0.7500 0.2500 0.5000
0.6184 0.6184 0.7632
0.3816 0.3816 0.2368
0.0000 0.0000 0.0000
```

**Symmetry**: I4/mmm, No. 139
**DOS at the Fermi energy**: 4.9 states/eV per cell
**Mass density**: 7453 kg/m3
**V**: 103 Å³/cell


Q: Which of them is the least stable? A: x.